DFT (PBE-GGA) results for a relaxed Li2SnGe crystal.

a = 6.6278 Å, b = 6.6278 Å, c = 6.6278 Å
α = 90.00°, β = 90.00°, γ = 90.00°
Fractional positions:
Li  0.2500  0.2500  0.2500
Li  0.2500  0.2500  0.7500
Li  0.2500  0.7500  0.2500
Li  0.2500  0.7500  0.7500
Li  0.7500  0.2500  0.2500
Li  0.7500  0.2500  0.7500
Li  0.7500  0.7500  0.2500
Li  0.7500  0.7500  0.7500
Sn  0.0000  0.0000  0.0000
Sn  0.0000  0.5000  0.5000
Sn  0.5000  0.0000  0.5000
Sn  0.5000  0.5000  0.0000
Ge  0.0000  0.0000  0.5000
Ge  0.0000  0.5000  0.0000
Ge  0.5000  0.0000  0.0000
Ge  0.5000  0.5000  0.5000

Calculated values
Polymorph energy (0 for the lowest one) in eV/f.u.: 0.13
Space group: Fm-3m, No. 225
ΔE_f in eV/f.u.: -1.0
Calculated total energy in eV/f.u.: -13.4